[1]
## LiCdPb2 (meta-GGA SCAN)

Data for a crystal of LiCdPb2 relaxed with PBEsol.

a = 3.407 Å, b = 3.407 Å, c = 8.211 Å
α = 90.00°, β = 90.00°, γ = 90.00°
Element x y z (fractional)
1 Li 0.000 0.000 0.000
2 Cd 0.500 0.500 0.817
3 Pb 0.000 0.000 0.551
4 Pb 0.500 0.500 0.228

## Properties
Space-group type = P4mm (99)
Total magnetization = 0.00 μB per formula unit
E = -46.23 eV/atom
Calculated volume = 95.3 Å³/f.u.

---

[2]
## FeSeBr2 (meta-GGA SCAN)

Data for a crystal of FeSeBr2 relaxed with PBEsol.

a = 3.376 Å, b = 4.209 Å, c = 6.120 Å
α = 90.00°, β = 90.00°, γ = 90.00°
Element x y z (fractional)
1 Fe 0.000 0.000 0.000
2 Se 0.500 0.000 0.500
3 Br 0.000 0.500 0.500
4 Br 0.500 0.500 0.000

## Properties
Uncorrected formation energy = 0.311 eV/atom
ΔE to the lowest computed polymorph = 159 kJ/mol of formula units
Space-group type = Pmmm (47)
Total magnetization = 3.46 μB per formula unit
E = -18.97 eV/atom
Calculated volume = 87.0 Å³/f.u.

---

[3]
## SiSb2Cl (meta-GGA SCAN)

Data for a crystal of SiSb2Cl relaxed with PBEsol.

a = 7.668 Å, b = 3.846 Å, c = 6.864 Å
α = 90.00°, β = 104.59°, γ = 90.00°
Element x y z (fractional)
1 Si 0.000 0.000 0.000
2 Si 0.500 0.500 0.000
3 Sb 0.233 0.500 0.197
4 Sb 0.267 0.000 0.803
5 Sb 0.733 0.000 0.197
6 Sb 0.767 0.500 0.803
7 Cl 0.000 0.500 0.500
8 Cl 0.500 0.000 0.500

## Properties
Uncorrected formation energy = 0.076 eV/atom
Space-group type = C2/m (12)
Total magnetization = 0.00 μB per formula unit
E = -23.05 eV/atom
Calculated volume = 97.9 Å³/f.u.

---

[4]
## AlSiAs2 (meta-GGA SCAN)

Data for a crystal of AlSiAs2 relaxed with PBEsol.

a = 6.494 Å, b = 6.494 Å, c = 6.494 Å
α = 90.00°, β = 90.00°, γ = 90.00°
Element x y z (fractional)
1 Al 0.000 0.000 0.000
2 Al 0.000 0.500 0.500
3 Al 0.500 0.000 0.500
4 Al 0.500 0.500 0.000
5 Si 0.250 0.250 0.750
6 Si 0.250 0.750 0.250
7 Si 0.750 0.250 0.250
8 Si 0.750 0.750 0.750
9 As 0.000 0.000 0.500
10 As 0.000 0.500 0.000
11 As 0.250 0.250 0.250
12 As 0.250 0.750 0.750
13 As 0.500 0.000 0.000
14 As 0.500 0.500 0.500
15 As 0.750 0.250 0.750
16 As 0.750 0.750 0.250

## Properties
Uncorrected formation energy = 0.458 eV/atom
ΔE to the lowest computed polymorph = 28 kJ/mol of formula units
Space-group type = F-43m (216)
Total magnetization = 0.00 μB per formula unit
E = -14.08 eV/atom
Calculated volume = 68.5 Å³/f.u.

---

[5]
## BaAs12Ru4 (meta-GGA SCAN)

Data for a crystal of BaAs12Ru4 relaxed with PBEsol.

a = 7.395 Å, b = 7.395 Å, c = 7.395 Å
α = 109.47°, β = 109.47°, γ = 109.47°
Element x y z (fractional)
1 Ba 0.000 0.000 0.000
2 As 0.153 0.353 0.506
3 As 0.153 0.647 0.800
4 As 0.200 0.847 0.353
5 As 0.353 0.200 0.847
6 As 0.353 0.506 0.153
7 As 0.494 0.847 0.647
8 As 0.506 0.153 0.353
9 As 0.647 0.494 0.847
10 As 0.647 0.800 0.153
11 As 0.800 0.153 0.647
12 As 0.847 0.353 0.200
13 As 0.847 0.647 0.494
14 Ru 0.000 0.000 0.500
15 Ru 0.000 0.500 0.000
16 Ru 0.500 0.000 0.000
17 Ru 0.500 0.500 0.500

## Properties
Space-group type = Im-3 (204)
Total magnetization = 0.00 μB per formula unit
E = -25.29 eV/atom
Calculated volume = 311.3 Å³/f.u.

---

[6]
## RbTe2Os (meta-GGA SCAN)

Data for a crystal of RbTe2Os relaxed with PBEsol.

a = 4.018 Å, b = 4.018 Å, c = 28.884 Å
α = 90.00°, β = 90.00°, γ = 120.00°
Element x y z (fractional)
1 Rb 0.000 0.000 0.000
2 Rb 0.333 0.667 0.667
3 Rb 0.667 0.333 0.333
4 Te 0.000 0.000 0.121
5 Te 0.000 0.000 0.879
6 Te 0.333 0.667 0.546
7 Te 0.333 0.667 0.788
8 Te 0.667 0.333 0.212
9 Te 0.667 0.333 0.454
10 Os 0.000 0.000 0.500
11 Os 0.333 0.667 0.167
12 Os 0.667 0.333 0.833

## Properties
Uncorrected formation energy = -0.001 eV/atom
Space-group type = R-3m (166)
Total magnetization = 0.00 μB per formula unit
E = -41.78 eV/atom
Calculated volume = 134.6 Å³/f.u.

---

Which value of calculated volume does entry 6 give?
134.6 Å³/f.u.

---

The lowest E belongs to which entry?
LiCdPb2

---

Which of these has the highest total magnetization?
FeSeBr2